A relaxed structure of NaTe2SeCl. Source: the Alexandria database, functional PBE.

a = 5.546 Å, b = 5.546 Å, c = 4.989 Å
α = 90.00°, β = 90.00°, γ = 90.00°
Fractional positions:
1 Na 0.000 0.000 0.000
2 Te 0.000 0.500 0.500
3 Te 0.500 0.000 0.500
4 Se 0.500 0.500 0.000
5 Cl 0.000 0.000 0.500

Results
- E_form (uncorrected) (eV/atom) = 0.2171
- final energy (eV per atom) = -2.370
- spin magnetization (μB/atom) = 0.000